Entry from the Alexandria database: a crystal of Li2AgRh relaxed with PBEsol (meta-GGA SCAN).

As for the total magnetic moment: 0.34 μB/cell. Its density of states at the Fermi level is 4.79 states/eV per cell. The calculation puts the calculated volume at 56.7 Å³/f.u. As for the energy of formation: -0.60 eV per formula unit.

```
data_Li2AgRh
_chemical_formula_sum 'Li4 Ag2 Rh2'
_cell_length_a 2.851
_cell_length_b 4.533
_cell_length_c 8.770
_cell_angle_alpha 90.00
_cell_angle_beta 90.00
_cell_angle_gamma 90.00
_space_group_name_H-M_alt 'C m m m'
_space_group_IT_number 65
_space_group_name_Hall '-C 2 2'
loop_
_atom_site_label
_atom_site_type_symbol
_atom_site_fract_x
_atom_site_fract_y
_atom_site_fract_z
Li1 Li 0.000 0.000 0.232
Ag1 Ag 0.000 0.500 0.500
Rh1 Rh 0.000 0.500 0.000
```